(1)
A relaxed structure of SmEr2Mg5, computed with PBE.

Unit cell a=8.4269 b=8.4269 c=8.4269 alpha=143.70 beta=143.70 gamma=52.27
With the nearest neighbours (Å) after each atom.
Positions (direct):
Sm  0.0000  0.0000  0.0000  8 Mg 3.21
Er  0.2569  0.2569  0.0000  8 Mg 3.20-3.33
Er  0.7431  0.7431  0.0000  8 Mg 3.20-3.33
Mg  0.1220  0.6220  0.5000  4 Er 3.20-3.33, 2 Sm 3.21, 2 Mg 3.21
Mg  0.3780  0.8780  0.5000  4 Er 3.20-3.33, 2 Mg 3.21, 2 Sm 3.21
Mg  0.5000  0.5000  0.0000  8 Mg 3.21
Mg  0.6220  0.1220  0.5000  4 Er 3.20-3.33, 2 Sm 3.21, 2 Mg 3.21
Mg  0.8780  0.3780  0.5000  4 Er 3.20-3.33, 2 Mg 3.21, 2 Sm 3.21

Results
DFT formation energy: -58 kJ/mol of formula units
VASP energy: -2.80 eV per atom



(2)
A relaxed structure of Dy2Si4RuPt3, computed with PBE.

Unit cell a=4.1373 b=4.1373 c=9.9761 alpha=90.00 beta=90.00 gamma=90.00
With the nearest neighbours (Å) after each atom.
Positions (direct):
Dy  0.0000  0.5000  0.2473  6 Pt 3.16-3.26, 8 Si 3.17-3.22, 2 Ru 3.26
Dy  0.5000  0.0000  0.7527  6 Pt 3.16-3.26, 8 Si 3.17-3.22, 2 Ru 3.26
Si  0.0000  0.0000  0.0000  4 Pt 2.43
Si  0.0000  0.5000  0.6299  3 Pt 2.41-2.44, 2 Ru 2.44
Si  0.5000  0.0000  0.3701  3 Pt 2.41-2.44, 2 Ru 2.44
Si  0.5000  0.5000  0.0000  4 Pt 2.43
Ru  0.0000  0.0000  0.5000  4 Si 2.44
Pt  0.0000  0.5000  0.8714  5 Si 2.41-2.43
Pt  0.5000  0.0000  0.1286  5 Si 2.41-2.43
Pt  0.5000  0.5000  0.5000  4 Si 2.44

Results
formation energy (no corrections): -1.08 eV per atom
VASP energy: -6.91 eV per atom



(3)
A relaxed structure of CrTc2W, computed with PBE.

Unit cell a=4.7389 b=4.7389 c=4.7119 alpha=99.90 beta=99.90 gamma=33.85
With the nearest neighbours (Å) after each atom.
Positions (direct):
Cr  0.0000  0.0000  0.0000  7 Tc 2.66-2.81, 3 W 2.70-2.74, 2 Cr 2.76
Tc  0.4885  0.4885  0.4850  4 Cr 2.69-2.78, 5 Tc 2.71-2.76, 3 W 2.72-2.83
Tc  0.7399  0.7399  0.2476  3 Cr 2.66-2.81, 4 W 2.71-2.76, 5 Tc 2.71-2.76
W  0.2479  0.2479  0.7563  3 Cr 2.70-2.74, 7 Tc 2.71-2.83, 2 W 2.76

Results
DFT formation energy: 89 kJ/mol of formula units
VASP energy: -10.60 eV per atom



(4)
A relaxed structure of LiIn2BiI6, computed with PBE.

Unit cell a=9.6078 b=9.6078 c=9.6078 alpha=49.15 beta=49.15 gamma=49.15
With the nearest neighbours (Å) after each atom.
Positions (direct):
Li  0.0000  0.0000  0.0000  6 I 3.08-3.11
In  0.3373  0.3373  0.3373  6 I 3.46-3.49
In  0.8340  0.8340  0.8340  6 I 3.46-3.50
Bi  0.6659  0.6659  0.6659  6 I 3.12-3.13
I  0.0297  0.7842  0.4055  1 Li 3.11, 1 Bi 3.13, 1 In 3.46
I  0.2577  0.6298  0.9024  1 Li 3.08, 1 Bi 3.12
I  0.4055  0.0297  0.7842  1 Li 3.11, 1 Bi 3.13, 1 In 3.46
I  0.6298  0.9024  0.2577  1 Li 3.08, 1 Bi 3.12
I  0.7842  0.4055  0.0297  1 Li 3.11, 1 Bi 3.13, 1 In 3.46
I  0.9024  0.2577  0.6298  1 Li 3.08, 1 Bi 3.12

Results
formation energy (no corrections): -0.59 eV per atom
VASP energy: -2.65 eV per atom



(5)
A relaxed structure of RbCeMg2Br8, computed with PBE.

Unit cell a=7.0002 b=7.0461 c=9.7565 alpha=76.61 beta=77.98 gamma=77.08
With the nearest neighbours (Å) after each atom.
Positions (direct):
Rb  0.0000  0.0000  0.0000  6 Br 3.42-3.74
Ce  0.0000  0.0000  0.5000  6 Br 2.89-2.97
Mg  0.4609  0.4520  0.2077  5 Br 2.56-2.73
Mg  0.5391  0.5480  0.7923  5 Br 2.56-2.73
Br  0.1837  0.7175  0.7338  1 Mg 2.62
Br  0.2439  0.7811  0.2822  1 Mg 2.64, 1 Ce 2.94
Br  0.2940  0.2485  0.4503  1 Mg 2.66, 1 Ce 2.89
Br  0.3618  0.3064  0.0216  2 Mg 2.56-2.73
Br  0.6382  0.6936  0.9784  2 Mg 2.56-2.73
Br  0.7060  0.7515  0.5497  1 Mg 2.66, 1 Ce 2.89
Br  0.7561  0.2189  0.7178  1 Mg 2.64, 1 Ce 2.94
Br  0.8163  0.2825  0.2662  1 Mg 2.62

Results
formation energy (no corrections): -1.58 eV per atom
VASP energy: -3.53 eV per atom



(6)
A relaxed structure of MnCoOs2, computed with PBE.

Unit cell a=2.9416 b=2.9416 c=6.0260 alpha=90.00 beta=90.00 gamma=90.00
With the nearest neighbours (Å) after each atom.
Positions (direct):
Mn  0.0000  0.0000  0.0000  8 Os 2.56
Co  0.0000  0.0000  0.5000  8 Os 2.58
Os  0.5000  0.5000  0.2478  4 Mn 2.56, 4 Co 2.58
Os  0.5000  0.5000  0.7522  4 Mn 2.56, 4 Co 2.58

Results
DFT formation energy: 102 kJ/mol of formula units
VASP energy: -9.42 eV per atom
excess energy over the best structure of this formula in the dataset: 19.28 kJ per mole of atoms



(7)
A relaxed structure of Ta2Ti2Pt, computed with PBE.

Unit cell a=7.5986 b=7.5986 c=7.5986 alpha=152.84 beta=152.84 gamma=38.79
With the nearest neighbours (Å) after each atom.
Positions (direct):
Ta  0.0917  0.0917  0.0000  1 Ta 2.63, 4 Pt 2.85, 4 Ti 2.89
Ta  0.9083  0.9083  0.0000  1 Ta 2.63, 4 Pt 2.85, 4 Ti 2.89
Ti  0.2500  0.7500  0.5000  4 Ti 2.52
Ti  0.7500  0.2500  0.5000  4 Ti 2.52
Pt  0.5000  0.5000  0.0000  8 Ta 2.85

Results
DFT formation energy: 229 kJ/mol of formula units
VASP energy: -8.63 eV per atom
excess energy over the best structure of this formula in the dataset: 87.71 kJ per mole of atoms



(8)
A relaxed structure of Cs2SbBrCl6, computed with PBE.

Unit cell a=18.2151 b=18.2151 c=18.2151 alpha=22.70 beta=22.70 gamma=22.70
With the nearest neighbours (Å) after each atom.
Positions (direct):
Cs  0.1131  0.1131  0.1131  6 Cl 3.88
Cs  0.2973  0.2973  0.2973  9 Cl 3.62-4.00
Cs  0.7027  0.7027  0.7027  9 Cl 3.62-4.00
Cs  0.8869  0.8869  0.8869  6 Cl 3.88
Sb  0.0000  0.0000  0.0000  6 Cl 2.47
Sb  0.5000  0.5000  0.5000  6 Cl 2.43
Br  0.4094  0.4094  0.4094  3 Cl 3.36
Br  0.5906  0.5906  0.5906  3 Cl 3.36
Cl  0.1512  0.6355  0.6355  1 Sb 2.43
Cl  0.1879  0.1879  0.7063  1 Sb 2.47
Cl  0.1879  0.7063  0.1879  1 Sb 2.47
Cl  0.2937  0.8121  0.8121  1 Sb 2.47
Cl  0.3645  0.3645  0.8488  1 Sb 2.43
Cl  0.3645  0.8488  0.3645  1 Sb 2.43
Cl  0.6355  0.1512  0.6355  1 Sb 2.43
Cl  0.6355  0.6355  0.1512  1 Sb 2.43
Cl  0.7063  0.1879  0.1879  1 Sb 2.47
Cl  0.8121  0.2937  0.8121  1 Sb 2.47
Cl  0.8121  0.8121  0.2937  1 Sb 2.47
Cl  0.8488  0.3645  0.3645  1 Sb 2.43

Results
formation energy (no corrections): -1.16 eV per atom
VASP energy: -3.01 eV per atom